Run P
The following is a DFT calculation (PBE) of a relaxed structure of Mg2PtW.

ρ	9.69	g cm⁻³
DOS at the Fermi energy	0.86	states/eV/atom
volume	18.3	Å³/atom

Cell and atoms, written as CIF:
```
data_Mg2PtW
_cell_length_a 7.409
_cell_length_b 7.409
_cell_length_c 5.339
_cell_angle_alpha 90.00
_cell_angle_beta 90.00
_cell_angle_gamma 90.00
_symmetry_space_group_name_H-M 'I -4 2 d'
_symmetry_Int_Tables_number 122
_symmetry_space_group_name_Hall 'I -4 2bw'
loop_
_atom_site_label
_atom_site_type_symbol
_atom_site_fract_x
_atom_site_fract_y
_atom_site_fract_z
Mg1 Mg 0.222 0.250 0.125
Pt1 Pt 0.000 0.000 0.000
W1 W 0.000 0.000 0.500
```


Run Q
The following is a DFT calculation (PBE) of a relaxed structure of Mg2PtW.

ρ	10.64	g cm⁻³
DOS at the Fermi energy	0.98	states/eV/atom
volume	16.7	Å³/atom

Cell and atoms, written as CIF:
```
data_Mg2PtW
_cell_length_a 4.006
_cell_length_b 4.006
_cell_length_c 4.158
_cell_angle_alpha 90.00
_cell_angle_beta 90.00
_cell_angle_gamma 90.00
_symmetry_space_group_name_H-M 'P 4/m m m'
_symmetry_Int_Tables_number 123
_symmetry_space_group_name_Hall '-P 4 2'
loop_
_atom_site_label
_atom_site_type_symbol
_atom_site_fract_x
_atom_site_fract_y
_atom_site_fract_z
Mg1 Mg 0.000 0.500 0.000
Pt1 Pt 0.000 0.000 0.500
W1 W 0.500 0.500 0.500
```


Run R
The following is a DFT calculation (PBE) of a relaxed structure of Mg2PtW.

ρ	10.56	g cm⁻³
DOS at the Fermi energy	1.16	states/eV/atom
volume	16.8	Å³/atom

Cell and atoms, written as CIF:
```
data_Mg2PtW
_cell_length_a 6.455
_cell_length_b 6.455
_cell_length_c 6.455
_cell_angle_alpha 90.00
_cell_angle_beta 90.00
_cell_angle_gamma 90.00
_symmetry_space_group_name_H-M 'F -4 3 m'
_symmetry_Int_Tables_number 216
_symmetry_space_group_name_Hall 'F -4 2 3'
loop_
_atom_site_label
_atom_site_type_symbol
_atom_site_fract_x
_atom_site_fract_y
_atom_site_fract_z
Mg1 Mg 0.000 0.000 0.000
Mg2 Mg 0.250 0.250 0.250
Pt1 Pt 0.000 0.000 0.500
W1 W 0.250 0.250 0.750
```


Unit: kJ/mol of atoms. Relative energies: run P 40.0; run Q 0.0; run R 4.6.


Run P
The following is a DFT calculation (PBE) of a relaxed structure of MgPtW3.

ρ	11.43	g cm⁻³
DOS at the Fermi energy	1.31	states/eV/atom
volume	22.4	Å³/atom

Cell and atoms, written as CIF:
```
data_MgPtW3
_cell_length_a 4.821
_cell_length_b 4.821
_cell_length_c 4.821
_cell_angle_alpha 90.00
_cell_angle_beta 90.00
_cell_angle_gamma 90.00
_symmetry_space_group_name_H-M 'P m -3 m'
_symmetry_Int_Tables_number 221
_symmetry_space_group_name_Hall '-P 4 2 3'
loop_
_atom_site_label
_atom_site_type_symbol
_atom_site_fract_x
_atom_site_fract_y
_atom_site_fract_z
Mg1 Mg 0.000 0.000 0.000
Pt1 Pt 0.500 0.500 0.500
W1 W 0.000 0.500 0.500
```


Run Q
The following is a DFT calculation (PBE) of a relaxed structure of MgPtW3.

ρ	14.16	g cm⁻³
DOS at the Fermi energy	0.95	states/eV/atom
volume	18.1	Å³/atom

Cell and atoms, written as CIF:
```
data_MgPtW3
_cell_length_a 4.488
_cell_length_b 4.488
_cell_length_c 4.488
_cell_angle_alpha 90.00
_cell_angle_beta 90.00
_cell_angle_gamma 90.00
_symmetry_space_group_name_H-M 'P m -3 m'
_symmetry_Int_Tables_number 221
_symmetry_space_group_name_Hall '-P 4 2 3'
loop_
_atom_site_label
_atom_site_type_symbol
_atom_site_fract_x
_atom_site_fract_y
_atom_site_fract_z
Mg1 Mg 0.000 0.000 0.000
Pt1 Pt 0.500 0.500 0.500
W1 W 0.000 0.000 0.500
```


Unit: kJ/mol of atoms. Relative energies: run P 0.0; run Q 38.3.


Run P
The following is a DFT calculation (PBE) of a relaxed structure of MgPt3W.

ρ	14.48	g cm⁻³
DOS at the Fermi energy	2.45	states/eV/atom
volume	18.2	Å³/atom

Cell and atoms, written as CIF:
```
data_MgPt3W
_cell_length_a 4.498
_cell_length_b 4.498
_cell_length_c 4.498
_cell_angle_alpha 90.00
_cell_angle_beta 90.00
_cell_angle_gamma 90.00
_symmetry_space_group_name_H-M 'P m -3 m'
_symmetry_Int_Tables_number 221
_symmetry_space_group_name_Hall '-P 4 2 3'
loop_
_atom_site_label
_atom_site_type_symbol
_atom_site_fract_x
_atom_site_fract_y
_atom_site_fract_z
Mg1 Mg 0.000 0.000 0.000
Pt1 Pt 0.000 0.000 0.500
W1 W 0.500 0.500 0.500
```


Run Q
The following is a DFT calculation (PBE) of a relaxed structure of MgPt3W.

ρ	11.42	g cm⁻³
DOS at the Fermi energy	0.70	states/eV/atom
volume	23.1	Å³/atom

Cell and atoms, written as CIF:
```
data_MgPt3W
_cell_length_a 4.868
_cell_length_b 4.868
_cell_length_c 4.868
_cell_angle_alpha 90.00
_cell_angle_beta 90.00
_cell_angle_gamma 90.00
_symmetry_space_group_name_H-M 'P m -3 m'
_symmetry_Int_Tables_number 221
_symmetry_space_group_name_Hall '-P 4 2 3'
loop_
_atom_site_label
_atom_site_type_symbol
_atom_site_fract_x
_atom_site_fract_y
_atom_site_fract_z
Mg1 Mg 0.000 0.000 0.000
Pt1 Pt 0.000 0.500 0.500
W1 W 0.500 0.500 0.500
```


Unit: kJ/mol of atoms. Relative energies: run P 56.8; run Q 0.0.


Run P
The following is a DFT calculation (PBE) of a relaxed structure of YMg3Pt.

ρ	3.19	g cm⁻³
DOS at the Fermi energy	0.80	states/eV/atom
volume	37.2	Å³/atom

Cell and atoms, written as CIF:
```
data_YMg3Pt
_cell_length_a 5.707
_cell_length_b 5.707
_cell_length_c 5.707
_cell_angle_alpha 90.00
_cell_angle_beta 90.00
_cell_angle_gamma 90.00
_symmetry_space_group_name_H-M 'P m -3 m'
_symmetry_Int_Tables_number 221
_symmetry_space_group_name_Hall '-P 4 2 3'
loop_
_atom_site_label
_atom_site_type_symbol
_atom_site_fract_x
_atom_site_fract_y
_atom_site_fract_z
Y1 Y 0.000 0.000 0.000
Mg1 Mg 0.000 0.000 0.500
Pt1 Pt 0.500 0.500 0.500
```


Run Q
The following is a DFT calculation (PBE) of a relaxed structure of YMg3Pt.

ρ	4.78	g cm⁻³
DOS at the Fermi energy	1.02	states/eV/atom
volume	24.8	Å³/atom

Cell and atoms, written as CIF:
```
data_YMg3Pt
_cell_length_a 4.986
_cell_length_b 4.986
_cell_length_c 4.986
_cell_angle_alpha 90.00
_cell_angle_beta 90.00
_cell_angle_gamma 90.00
_symmetry_space_group_name_H-M 'P m -3 m'
_symmetry_Int_Tables_number 221
_symmetry_space_group_name_Hall '-P 4 2 3'
loop_
_atom_site_label
_atom_site_type_symbol
_atom_site_fract_x
_atom_site_fract_y
_atom_site_fract_z
Y1 Y 0.000 0.000 0.000
Mg1 Mg 0.000 0.500 0.500
Pt1 Pt 0.500 0.500 0.500
```


Unit: kJ/mol of atoms. Relative energies: run P 170.7; run Q 0.0.


Run P
The following is a DFT calculation (PBE) of a relaxed structure of YMg2Pt2.

ρ	9.47	g cm⁻³
DOS at the Fermi energy	0.45	states/eV/atom
volume	18.5	Å³/atom

Cell and atoms, written as CIF:
```
data_YMg2Pt2
_cell_length_a 7.890
_cell_length_b 7.890
_cell_length_c 2.973
_cell_angle_alpha 90.00
_cell_angle_beta 90.00
_cell_angle_gamma 90.00
_symmetry_space_group_name_H-M 'P 4/m b m'
_symmetry_Int_Tables_number 127
_symmetry_space_group_name_Hall '-P 4 2ab'
loop_
_atom_site_label
_atom_site_type_symbol
_atom_site_fract_x
_atom_site_fract_y
_atom_site_fract_z
Y1 Y 0.000 0.000 0.000
Mg1 Mg 0.122 0.378 0.000
Pt1 Pt 0.175 0.675 0.500
```


Run Q
The following is a DFT calculation (PBE) of a relaxed structure of YMg2Pt2.

ρ	8.51	g cm⁻³
DOS at the Fermi energy	0.52	states/eV/atom
volume	20.6	Å³/atom

Cell and atoms, written as CIF:
```
data_YMg2Pt2
_cell_length_a 3.979
_cell_length_b 12.722
_cell_length_c 8.133
_cell_angle_alpha 90.00
_cell_angle_beta 90.00
_cell_angle_gamma 90.00
_symmetry_space_group_name_H-M 'C m c 21'
_symmetry_Int_Tables_number 36
loop_
_symmetry_equiv_pos_as_xyz
'x,y,z'
'-x,-y,z+1/2'
'-x,y,z'
'x,-y,z+1/2'
'x+1/2,y+1/2,z'
'-x+1/2,-y+1/2,z+1/2'
'-x+1/2,y+1/2,z'
'x+1/2,-y+1/2,z+1/2'
loop_
_atom_site_label
_atom_site_type_symbol
_atom_site_fract_x
_atom_site_fract_y
_atom_site_fract_z
Y1 Y 0.000 0.095 0.000
Mg1 Mg 0.000 0.180 0.611
Mg2 Mg 0.000 0.376 0.853
Pt1 Pt 0.000 0.265 0.316
Pt2 Pt 0.000 0.461 0.162
```


Run R
The following is a DFT calculation (PBE) of a relaxed structure of YMg2Pt2.

ρ	8.68	g cm⁻³
DOS at the Fermi energy	0.51	states/eV/atom
volume	20.2	Å³/atom

Cell and atoms, written as CIF:
```
data_YMg2Pt2
_cell_length_a 4.003
_cell_length_b 4.003
_cell_length_c 12.606
_cell_angle_alpha 90.00
_cell_angle_beta 90.00
_cell_angle_gamma 90.00
_symmetry_space_group_name_H-M 'I 4/m m m'
_symmetry_Int_Tables_number 139
_symmetry_space_group_name_Hall '-I 4 2'
loop_
_atom_site_label
_atom_site_type_symbol
_atom_site_fract_x
_atom_site_fract_y
_atom_site_fract_z
Y1 Y 0.000 0.000 0.000
Mg1 Mg 0.000 0.500 0.250
Pt1 Pt 0.000 0.000 0.393
```


Unit: kJ/mol of atoms. Relative energies: run P 9.2; run Q 1.5; run R 0.0.


Run P
The following is a DFT calculation (PBE) of a relaxed structure of MgZnPt4.

ρ	15.50	g cm⁻³
DOS at the Fermi energy	0.92	states/eV/atom
volume	15.5	Å³/atom

Cell and atoms, written as CIF:
```
data_MgZnPt4
_cell_length_a 9.162
_cell_length_b 3.815
_cell_length_c 5.608
_cell_angle_alpha 90.00
_cell_angle_beta 108.04
_cell_angle_gamma 90.00
_symmetry_space_group_name_H-M 'C 1 2/m 1'
_symmetry_Int_Tables_number 12
loop_
_symmetry_equiv_pos_as_xyz
'x,y,z'
'-x,-y,-z'
'-x,y,-z'
'x,-y,z'
'x+1/2,y+1/2,z'
'-x+1/2,-y+1/2,-z'
'-x+1/2,y+1/2,-z'
'x+1/2,-y+1/2,z'
loop_
_atom_site_label
_atom_site_type_symbol
_atom_site_fract_x
_atom_site_fract_y
_atom_site_fract_z
Mg1 Mg 0.000 0.000 0.000
Zn1 Zn 0.000 0.000 0.500
Pt1 Pt 0.159 0.500 0.332
Pt2 Pt 0.161 0.500 0.827
```


Run Q
The following is a DFT calculation (PBE) of a relaxed structure of MgZnPt4.

ρ	13.82	g cm⁻³
DOS at the Fermi energy	1.14	states/eV/atom
volume	17.4	Å³/atom

Cell and atoms, written as CIF:
```
data_MgZnPt4
_cell_length_a 7.477
_cell_length_b 7.477
_cell_length_c 7.477
_cell_angle_alpha 90.00
_cell_angle_beta 90.00
_cell_angle_gamma 90.00
_symmetry_space_group_name_H-M 'F -4 3 m'
_symmetry_Int_Tables_number 216
_symmetry_space_group_name_Hall 'F -4 2 3'
loop_
_atom_site_label
_atom_site_type_symbol
_atom_site_fract_x
_atom_site_fract_y
_atom_site_fract_z
Mg1 Mg 0.000 0.000 0.000
Zn1 Zn 0.250 0.250 0.250
Pt1 Pt 0.125 0.125 0.625
```


Run R
The following is a DFT calculation (PBE) of a relaxed structure of MgZnPt4.

ρ	13.96	g cm⁻³
DOS at the Fermi energy	0.56	states/eV/atom
volume	17.3	Å³/atom

Cell and atoms, written as CIF:
```
data_MgZnPt4
_cell_length_a 4.134
_cell_length_b 4.134
_cell_length_c 6.057
_cell_angle_alpha 90.00
_cell_angle_beta 90.00
_cell_angle_gamma 90.00
_symmetry_space_group_name_H-M 'P 4/m m m'
_symmetry_Int_Tables_number 123
_symmetry_space_group_name_Hall '-P 4 2'
loop_
_atom_site_label
_atom_site_type_symbol
_atom_site_fract_x
_atom_site_fract_y
_atom_site_fract_z
Mg1 Mg 0.000 0.000 0.000
Zn1 Zn 0.500 0.500 0.500
Pt1 Pt 0.000 0.500 0.256
```


Unit: kJ/mol of atoms. Relative energies: run P 0.0; run Q 13.3; run R 24.0.